Record 1
4
Lattice="0.000 3.337 3.337 3.337 0.000 3.337 3.337 3.337 0.000" Properties=species:S:1:pos:R:3 comment="PBE KHgOs2, optimized geometry" total_energy_ev_per_atom=-4.47 delta_e_f_ev_per_fu=5.97 pbc="T T T"
K 0.000 0.000 0.000
Hg 1.669 1.669 1.669
Os 3.337 3.337 3.337
Os 5.006 5.006 5.006



Record 2
4
Lattice="0.000 3.068 3.068 3.068 0.000 3.068 3.068 3.068 0.000" Properties=species:S:1:pos:R:3 comment="PBE CrGaTcW, optimized geometry" total_energy_ev_per_atom=-9.01 delta_e_f_ev_per_fu=-0.08 pbc="T T T"
Cr 0.000 0.000 0.000
Ga 4.602 4.602 4.602
Tc 3.068 3.068 3.068
W 1.534 1.534 1.534



Record 3
8
Lattice="4.605 0.000 0.000 0.000 4.605 0.000 0.000 0.000 6.666" Properties=species:S:1:pos:R:3 comment="PBE Sc4CdOs3, optimized geometry" total_energy_ev_per_atom=-7.87 delta_e_f_ev_per_fu=-3.01 pbc="T T T"
Sc 0.000 2.303 1.555
Sc 0.000 2.303 5.111
Sc 2.303 0.000 1.555
Sc 2.303 0.000 5.111
Cd 0.000 0.000 3.333
Os 0.000 0.000 0.000
Os 2.303 2.303 0.000
Os 2.303 2.303 3.333